No. 1
Material: YMoW2
Method: DFT, PBE-GGA
State: optimized geometry

As for the energy above the most stable polymorph in this dataset: 6.72 kcal/mol of atoms. The value obtained for the magnetic moment is 0.0 Bohr magnetons per cell. For the theoretical density, the calculation gives 12.7 g/cm3.

The structure belongs to space group P4/mmm (No. 123); the cell edges are 4.740, 4.740 and 3.217 Å and the angles 90.00°, 90.00° and 90.00°. The asymmetric unit holds Y at (0.000, 0.000, 0.000), Mo at (0.500, 0.500, 0.000) and W at (0.000, 0.500, 0.500).

---

No. 2
Material: YMoW
Method: DFT, PBE-GGA
State: optimized geometry

As for the energy above the most stable polymorph in this dataset: 16.91 kcal/mol of atoms. The value obtained for the magnetic moment is 0.0 Bohr magnetons per cell. For the theoretical density, the calculation gives 9.3 g/cm3.

The structure belongs to space group F-43m (No. 216); the cell edges are 6.413, 6.413 and 6.413 Å and the angles 90.00°, 90.00° and 90.00°. The asymmetric unit holds Y at (0.000, 0.000, 0.000), Mo at (0.250, 0.250, 0.750) and W at (0.000, 0.000, 0.500).

---

No. 3
Material: YMoW2
Method: DFT, PBE-GGA
State: optimized geometry

As for the energy above the most stable polymorph in this dataset: 2.94 kcal/mol of atoms. The value obtained for the magnetic moment is 0.0 Bohr magnetons per cell. For the theoretical density, the calculation gives 12.6 g/cm3.

The structure belongs to space group P2/m (No. 10); the cell edges are 2.857, 4.603 and 5.639 Å and the angles 90.00°, 100.70° and 90.00°. The asymmetric unit holds Y at (0.000, 0.000, 0.000), Mo at (0.500, 0.000, 0.500) and W at (0.272, 0.500, 0.729).

---

No. 4
Material: YMoW
Method: DFT, PBE-GGA
State: optimized geometry

As for the energy above the most stable polymorph in this dataset: 7.49 kcal/mol of atoms. The value obtained for the magnetic moment is 0.0 Bohr magnetons per cell. For the theoretical density, the calculation gives 10.6 g/cm3.

The structure belongs to space group Fmm2 (No. 42); the cell edges are 3.271, 4.941 and 14.327 Å and the angles 90.00°, 90.00° and 90.00°. The asymmetric unit holds Y at (0.000, 0.000, 0.000), Mo at (0.000, 0.000, 0.320) and W at (0.000, 0.000, 0.682).

---

No. 5
Material: Y2MoW
Method: DFT, PBE-GGA
State: optimized geometry

As for the energy above the most stable polymorph in this dataset: 1.80 kcal/mol of atoms. The value obtained for the magnetic moment is 0.0 Bohr magnetons per cell. For the theoretical density, the calculation gives 8.3 g/cm3.

The structure belongs to space group Imm2 (No. 44); the cell edges are 3.490, 5.091 and 10.278 Å and the angles 90.00°, 90.00° and 90.00°. The asymmetric unit holds Y at (0.000, 0.000, 0.000), Y at (0.000, 0.500, 0.222), Mo at (0.000, 0.500, 0.771) and W at (0.000, 0.000, 0.444).

---

No. 6
Material: Y2MoW
Method: DFT, PBE-GGA
State: optimized geometry

As for the energy above the most stable polymorph in this dataset: 5.14 kcal/mol of atoms. The value obtained for the magnetic moment is 0.0 Bohr magnetons per cell. For the theoretical density, the calculation gives 8.3 g/cm3.

The structure belongs to space group Pm (No. 6); the cell edges are 3.181, 4.334 and 6.765 Å and the angles 90.00°, 102.21° and 90.00°. The asymmetric unit holds Y at (0.000, 0.000, 0.000), Y at (0.275, 0.500, 0.659), Mo at (0.754, 0.500, 0.246) and W at (0.578, 0.000, 0.411).